A plane-wave DFT calculation with GGA-PBE was carried out for crystalline Y2In2Cu at its relaxed geometry.

abc: 7.409 7.409 4.952
angles: 90.00 90.00 90.00
Element x y z (fractional)
Y (0.342, 0.842, 0.000)
Y (0.842, 0.658, 0.000)
Y (0.658, 0.158, 0.000)
Y (0.158, 0.342, 0.000)
Cu (0.000, 0.000, 0.000)
Cu (0.500, 0.500, 0.000)
In (0.149, 0.649, 0.500)
In (0.649, 0.851, 0.500)
In (0.851, 0.351, 0.500)
In (0.351, 0.149, 0.500)

Properties
**DFT formation energy**: -0.092 eV per atom
**Crystal system**: tetragonal
**Electronic total energy**: -45.921 eV/cell
**Fermi-level density of states**: 7.09 states/eV/cell
**Symmetry**: P4/mbm
**Energy above the lowest structure with this stoichiometry**: 222.1 meV/atom